First-principles (PBE) data for a relaxed ErMg9Sc2 crystal, as listed in the Alexandria database.

Computed properties:
**Magnetization**: 0.000 μB per formula unit
**Formation energy**: -44.8 meV/atom

Cell lengths 4.5660, 4.5660, 13.5958 Å; angles 90.00, 90.00, 90.00 degrees
Space group P4/mmm (No. 123)
Unique sites:
Er 0.0000 0.0000 0.0000 [1 per cell]
Mg 0.0000 0.5000 0.1725 [4 per cell]
Mg 0.0000 0.5000 0.5000 [2 per cell]
Mg 0.5000 0.5000 0.0000 [1 per cell]
Mg 0.5000 0.5000 0.3371 [2 per cell]
Sc 0.0000 0.0000 0.3368 [2 per cell]


First-principles (PBE) data for a relaxed Co2IrSe crystal, as listed in the Alexandria database.

Computed properties:
**Formation energy from raw total energies**: 488 meV per atom
**Magnetization**: 3.806 μB per formula unit

Cell lengths 2.8155, 4.7534, 8.3794 Å; angles 90.00, 90.00, 90.00 degrees
Space group Cmmm (No. 65)
Unique sites:
Co 0.0000 0.0000 0.2488 [4 per cell]
Ir 0.0000 0.5000 0.5000 [2 per cell]
Se 0.0000 0.5000 0.0000 [2 per cell]


First-principles (PBE) data for a relaxed La2ZnCu crystal, as listed in the Alexandria database.

Computed properties:
**Magnetization**: 0.000 μB per formula unit
**Formation energy**: -205.0 meV/atom

Cell lengths 3.8414, 4.5701, 6.2023 Å; angles 90.00, 107.39, 90.00 degrees
Space group Pm (No. 6)
Unique sites:
La 0.0000 0.0000 0.0000 [1 per cell]
La 0.2877 0.5000 0.5859 [1 per cell]
Zn 0.5813 0.5000 0.1649 [1 per cell]
Cu 0.7060 0.0000 0.4177 [1 per cell]